Below is ZrTaCr2Bi after structural relaxation, with properties calculated at the PBE level.

Calculated formation energy ... 1.7908 eV per atom
SG ... No. 123

```
ZrTaCr2Bi
1.0
4.597 0.000 0.000
0.000 4.597 0.000
0.000 0.000 5.145
Zr Ta Cr Bi
1 1 2 1
Direct
0.000 0.000 0.000
0.000 0.000 0.500
0.000 0.500 0.000
0.500 0.000 0.000
0.500 0.500 0.500
```

Below is TlAs2RhO8 after structural relaxation, with properties calculated at the PBE level.

SG ... No. 148
Raw total energy ... -5.777 eV/atom

```
TlAs2RhO8
1.0
2.492 1.439 8.767
-2.492 1.439 8.767
0.000 -2.878 8.767
Tl As Rh O
1 2 1 8
Direct
0.000 0.000 0.000
0.232 0.232 0.232
0.768 0.768 0.768
0.500 0.500 0.500
0.130 0.773 0.464
0.227 0.536 0.870
0.296 0.296 0.296
0.464 0.130 0.773
0.536 0.870 0.227
0.704 0.704 0.704
0.773 0.464 0.130
0.870 0.227 0.536
```

no.,total magnetic moment (μB/atom)
1,0.000
2,0.162